(1)
Material: ThCuSiNi6
Method: DFT, GGA-PBE
State: optimized geometry

## Properties
The density of states at the Fermi level comes out at 0.716 states/eV per atom. Its formation energy without anion corrections is -0.9 kJ/mol of atoms. The total magnetization is 0.0000 μB/atom.

Cell lengths 6.3395, 7.8500, 10.4081 Å; angles 90.00, 90.00, 90.00 degrees
Last column: nearest neighbours and their distance in Å.
Space group Imma (No. 74)
Symmetry-distinct sites (fractional):
Th 0.0000 0.2500 0.2180 (multiplicity 4)  10 Ni 2.85-3.19, 2 Si 3.00
Cu 0.2500 0.2500 0.7500 (multiplicity 4)  6 Ni 2.31-2.39
Si 0.0000 0.0000 0.0000 (multiplicity 4)  6 Ni 2.17-2.27
Ni 0.0000 0.2500 0.4921 (multiplicity 4)  8 Ni 2.63-2.65, 1 Th 2.85
Ni 0.0000 0.2500 0.9111 (multiplicity 4)  2 Si 2.17, 2 Cu 2.31
Ni 0.1987 0.0040 0.6186 (multiplicity 16)  1 Si 2.27, 1 Cu 2.39, 2 Ni 2.47-2.52


(2)
Material: Th2CuSi3Ni4
Method: DFT, GGA-PBE
State: optimized geometry

## Properties
The density of states at the Fermi level comes out at 0.511 states/eV per atom. Its formation energy without anion corrections is -70.6 kJ/mol of atoms. The total magnetization is 0.0000 μB/atom.

Cell lengths 4.0730, 4.0730, 9.5606 Å; angles 90.00, 90.00, 90.00 degrees
Last column: nearest neighbours and their distance in Å.
Space group P-4m2 (No. 115)
Symmetry-distinct sites (fractional):
Th 0.0000 0.5000 0.2485 (multiplicity 2)  8 Ni 3.11-3.13, 6 Si 3.11-3.15, 2 Cu 3.15
Cu 0.0000 0.0000 0.5000 (multiplicity 1)  4 Ni 2.39
Si 0.0000 0.5000 0.8739 (multiplicity 2)  5 Ni 2.33-2.37
Si 0.5000 0.5000 0.5000 (multiplicity 1)  4 Ni 2.39
Ni 0.0000 0.0000 0.0000 (multiplicity 1)  4 Si 2.37
Ni 0.0000 0.5000 0.6300 (multiplicity 2)  3 Si 2.33-2.39, 2 Cu 2.39
Ni 0.5000 0.5000 0.0000 (multiplicity 1)  4 Si 2.37


(3)
Material: TlCuSiNi2
Method: DFT, GGA-PBE
State: optimized geometry

## Properties
The density of states at the Fermi level comes out at 0.747 states/eV per atom. Its formation energy without anion corrections is 65.9 kJ/mol of atoms. The total magnetization is 0.0000 μB/atom.

Cell lengths 4.2491, 4.2491, 5.2174 Å; angles 90.00, 90.00, 90.00 degrees
Last column: nearest neighbours and their distance in Å.
Space group P4/mmm (No. 123)
Symmetry-distinct sites (fractional):
Tl 0.0000 0.0000 0.0000 (multiplicity 1)  2 Si 2.61
Cu 0.5000 0.5000 0.0000 (multiplicity 1)  4 Tl 3.00, 8 Ni 3.36
Si 0.0000 0.0000 0.5000 (multiplicity 1)  4 Ni 2.12
Ni 0.0000 0.5000 0.5000 (multiplicity 2)  2 Si 2.12


(4)
Material: TmCu2SiNi2
Method: DFT, GGA-PBE
State: optimized geometry

## Properties
The density of states at the Fermi level comes out at 0.906 states/eV per atom. Its formation energy without anion corrections is -6.3 kJ/mol of atoms. The total magnetization is 0.0000 μB/atom.

Cell lengths 4.2151, 4.2151, 5.4093 Å; angles 90.00, 90.00, 90.00 degrees
Last column: nearest neighbours and their distance in Å.
Space group P4/mmm (No. 123)
Symmetry-distinct sites (fractional):
Tm 0.0000 0.0000 0.0000 (multiplicity 1)  2 Si 2.70
Cu 0.5000 0.5000 0.2324 (multiplicity 2)  1 Cu 2.51, 4 Ni 2.56
Si 0.0000 0.0000 0.5000 (multiplicity 1)  4 Ni 2.11
Ni 0.0000 0.5000 0.5000 (multiplicity 2)  2 Si 2.11


(5)
Material: TmCuSi2Ni5
Method: DFT, GGA-PBE
State: optimized geometry

## Properties
The density of states at the Fermi level comes out at 0.239 states/eV per atom. Its formation energy without anion corrections is -24.5 kJ/mol of atoms. The total magnetization is 0.0000 μB/atom.

Cell lengths 3.7453, 3.7453, 8.6805 Å; angles 90.00, 90.00, 90.00 degrees
Last column: nearest neighbours and their distance in Å.
Space group P4/mmm (No. 123)
Symmetry-distinct sites (fractional):
Tm 0.0000 0.0000 0.0000 (multiplicity 1)  12 Ni 2.65-2.74
Cu 0.0000 0.0000 0.5000 (multiplicity 1)  8 Si 2.88, 8 Ni 3.00
Si 0.5000 0.5000 0.3694 (multiplicity 2)  4 Ni 2.23, 1 Si 2.27
Ni 0.0000 0.5000 0.2303 (multiplicity 4)  2 Si 2.23
Ni 0.5000 0.5000 0.0000 (multiplicity 1)  4 Tm 2.65, 8 Ni 2.74


(6)
Material: Tm2CuSi3Ni12
Method: DFT, GGA-PBE
State: optimized geometry

## Properties
The density of states at the Fermi level comes out at 0.662 states/eV per atom. Its formation energy without anion corrections is -16.9 kJ/mol of atoms. The total magnetization is 0.0000 μB/atom.

Cell lengths 8.3601, 8.3601, 11.7654 Å; angles 90.00, 90.00, 120.00 degrees
Last column: nearest neighbours and their distance in Å.
Space group R-3m (No. 166, hexagonal axes)
Symmetry-distinct sites (fractional):
Tm 0.0000 0.0000 0.1552 (multiplicity 6)  9 Ni 2.49-2.74
Cu 0.0000 0.0000 0.5000 (multiplicity 3)  6 Ni 2.37
Si 0.0000 0.5000 0.0000 (multiplicity 9)  6 Ni 2.26-2.48
Ni 0.0093 0.5046 0.1923 (multiplicity 18)  1 Si 2.26, 3 Ni 2.34-2.42, 1 Cu 2.37, 1 Tm 2.49
Ni 0.0096 0.5048 0.3913 (multiplicity 18)  2 Ni 2.34-2.56, 2 Si 2.48


(7)
Material: Tm3Cu2SiNi9
Method: DFT, GGA-PBE
State: optimized geometry

## Properties
The density of states at the Fermi level comes out at 0.449 states/eV per atom. Its formation energy without anion corrections is -2.2 kJ/mol of atoms. The total magnetization is 0.0000 μB/atom.

Cell lengths 5.8633, 5.8633, 8.2677 Å; angles 90.00, 90.00, 120.00 degrees
Last column: nearest neighbours and their distance in Å.
Space group P-3m1 (No. 164)
Symmetry-distinct sites (fractional):
Tm 0.0000 0.0000 0.0000 (multiplicity 1)  12 Ni 2.77-2.93
Tm 0.3333 0.6667 0.7034 (multiplicity 2)  9 Ni 2.95-2.98
Cu 0.3333 0.6667 0.1929 (multiplicity 2)  6 Ni 2.17-2.33
Si 0.0000 0.0000 0.5000 (multiplicity 1)  6 Ni 2.21
Ni 0.0000 0.5000 0.0000 (multiplicity 3)  2 Cu 2.33
Ni 0.1348 0.2697 0.2906 (multiplicity 6)  1 Cu 2.17, 1 Si 2.21, 2 Ni 2.37


(8)
Material: Tm2CuSi2Ni5
Method: DFT, GGA-PBE
State: optimized geometry

## Properties
The density of states at the Fermi level comes out at 0.918 states/eV per atom. Its formation energy without anion corrections is -39.0 kJ/mol of atoms. The total magnetization is 0.0000 μB/atom.

Cell lengths 9.4641, 9.4641, 3.2156 Å; angles 90.00, 90.00, 90.00 degrees
Last column: nearest neighbours and their distance in Å.
Space group P4/mbm (No. 127)
Symmetry-distinct sites (fractional):
Tm 0.1771 0.3229 0.0000 (multiplicity 4)  3 Si 2.69-2.88, 10 Ni 2.86-3.01
Cu 0.0000 0.0000 0.0000 (multiplicity 2)  8 Ni 2.59
Si 0.1218 0.6218 0.0000 (multiplicity 4)  6 Ni 2.29-2.37
Ni 0.0000 0.5000 0.5000 (multiplicity 2)  4 Si 2.29
Ni 0.0561 0.7930 0.5000 (multiplicity 8)  2 Si 2.37, 2 Cu 2.59


(9)
Material: Tm2Cu3SiNi12
Method: DFT, GGA-PBE
State: optimized geometry

## Properties
The density of states at the Fermi level comes out at 1.117 states/eV per atom. Its formation energy without anion corrections is 10.4 kJ/mol of atoms. The total magnetization is 0.0000 μB/atom.

Cell lengths 5.8902, 5.8902, 25.2864 Å; angles 90.00, 90.00, 120.00 degrees
Last column: nearest neighbours and their distance in Å.
Space group R-3m (No. 166, hexagonal axes)
Symmetry-distinct sites (fractional):
Tm 0.0000 0.0000 0.1489 (multiplicity 6)  6 Ni 2.79-2.85
Cu 0.0000 0.5000 0.0000 (multiplicity 9)  6 Ni 2.32-2.55
Si 0.0000 0.0000 0.5000 (multiplicity 3)  6 Ni 2.24
Ni 0.0402 0.5201 0.1007 (multiplicity 18)  1 Si 2.24, 2 Ni 2.35
Ni 0.0729 0.5365 0.6150 (multiplicity 18)  4 Ni 2.30-2.35, 2 Cu 2.32


(10)
Material: U2Cu3Si4Ni
Method: DFT, GGA-PBE
State: optimized geometry

## Properties
The density of states at the Fermi level comes out at 1.480 states/eV per atom. Its formation energy without anion corrections is -37.2 kJ/mol of atoms. The total magnetization is 0.4324 μB/atom.

Cell lengths 3.9540, 3.9540, 9.9022 Å; angles 90.00, 90.00, 90.00 degrees
Last column: nearest neighbours and their distance in Å.
Space group P-4m2 (No. 115)
Symmetry-distinct sites (fractional):
U 0.0000 0.5000 0.2461 (multiplicity 2)  8 Si 3.03, 2 Ni 3.14, 6 Cu 3.14-3.20
Cu 0.0000 0.0000 0.0000 (multiplicity 1)  4 Si 2.34
Cu 0.0000 0.0000 0.5000 (multiplicity 1)  4 Si 2.39
Cu 0.5000 0.5000 0.5000 (multiplicity 1)  4 Si 2.39
Si 0.0000 0.5000 0.6362 (multiplicity 2)  1 Si 2.34, 4 Cu 2.39
Si 0.0000 0.5000 0.8728 (multiplicity 2)  1 Si 2.34, 2 Ni 2.34, 2 Cu 2.34
Ni 0.5000 0.5000 0.0000 (multiplicity 1)  4 Si 2.34


(11)
Material: UCu2Si2Ni8
Method: DFT, GGA-PBE
State: optimized geometry

## Properties
The density of states at the Fermi level comes out at 0.982 states/eV per atom. Its formation energy without anion corrections is -26.0 kJ/mol of atoms. The total magnetization is 0.0824 μB/atom.

Cell lengths 4.8853, 11.3204, 11.5150 Å; angles 90.00, 90.00, 90.00 degrees
Last column: nearest neighbours and their distance in Å.
Space group Fmmm (No. 69)
Symmetry-distinct sites (fractional):
U 0.0000 0.0000 0.0000 (multiplicity 4)  12 Ni 2.78-3.03, 4 Cu 3.08
Cu 0.2500 0.2500 0.0000 (multiplicity 8)  8 Ni 2.40-2.54, 2 Cu 2.44
Si 0.2500 0.0000 0.2500 (multiplicity 8)  8 Ni 2.34-2.42, 2 Si 2.44
Ni 0.0000 0.1088 0.3861 (multiplicity 16)  2 Si 2.34, 2 Cu 2.40, 2 Ni 2.46-2.52
Ni 0.0000 0.1682 0.1755 (multiplicity 16)  2 Si 2.42, 5 Ni 2.52-2.63, 2 Cu 2.54


(12)
Material: CuSiNi2W
Method: DFT, GGA-PBE
State: optimized geometry

## Properties
The density of states at the Fermi level comes out at 1.222 states/eV per atom. Its formation energy without anion corrections is 81.8 kJ/mol of atoms. The total magnetization is 0.0002 μB/atom.

Cell lengths 4.1130, 4.1130, 4.2009 Å; angles 90.00, 90.00, 90.00 degrees
Last column: nearest neighbours and their distance in Å.
Space group P4/mmm (No. 123)
Symmetry-distinct sites (fractional):
Cu 0.0000 0.0000 0.0000 (multiplicity 1)  2 Si 2.10
Si 0.0000 0.0000 0.5000 (multiplicity 1)  4 Ni 2.06, 2 Cu 2.10
Ni 0.0000 0.5000 0.5000 (multiplicity 2)  2 Si 2.06
W 0.5000 0.5000 0.0000 (multiplicity 1)  4 Cu 2.91, 8 Ni 2.94


(13)
Material: Sm3Cu2Ni3
Method: DFT, GGA-PBE
State: optimized geometry

## Properties
The density of states at the Fermi level comes out at 0.484 states/eV per atom. The total magnetization is 0.0000 μB/atom. The value obtained for the formation energy is -0.28 eV/atom.

Cell lengths 7.3098, 15.0485, 5.4788 Å; angles 90.00, 90.00, 90.00 degrees
Last column: nearest neighbours and their distance in Å.
Space group Pnma (No. 62)
Symmetry-distinct sites (fractional):
Sm 0.0316 0.1026 0.1378 (multiplicity 8)  6 Ni 2.87-3.08, 3 Cu 2.95-2.97
Sm 0.1696 0.2500 0.6166 (multiplicity 4)  3 Ni 2.89-2.96, 4 Cu 2.95-3.01
Cu 0.1215 0.6083 0.3642 (multiplicity 8)  4 Ni 2.42-2.57
Ni 0.1735 0.0325 0.5862 (multiplicity 8)  3 Cu 2.42-2.47
Ni 0.1860 0.7500 0.6127 (multiplicity 4)  2 Cu 2.57


(14)
Material: SmCu2Ni4
Method: DFT, GGA-PBE
State: optimized geometry

## Properties
The density of states at the Fermi level comes out at 1.193 states/eV per atom. The total magnetization is 0.0000 μB/atom. The value obtained for the formation energy is -0.14 eV/atom.

Cell lengths 7.9210, 6.2421, 4.8668 Å; angles 90.00, 127.76, 90.00 degrees
Last column: nearest neighbours and their distance in Å.
Space group C2/m (No. 12)
Symmetry-distinct sites (fractional):
Sm 0.0000 0.0000 0.0000 (multiplicity 2)  12 Ni 2.72-2.97
Cu 0.9999 0.5000 0.2496 (multiplicity 4)  2 Cu 2.43-2.44, 8 Ni 2.57-2.58
Ni 0.1926 0.1928 0.6923 (multiplicity 8)  4 Ni 2.41-2.64, 4 Cu 2.57-2.58


(15)
Material: SmCuNi5
Method: DFT, GGA-PBE
State: optimized geometry

## Properties
The density of states at the Fermi level comes out at 1.302 states/eV per atom. The total magnetization is 0.1595 μB/atom. The value obtained for the formation energy is -0.19 eV/atom.

Cell lengths 7.8624, 4.8634, 9.9500 Å; angles 90.00, 90.00, 90.00 degrees
Last column: nearest neighbours and their distance in Å.
Space group Pnma (No. 62)
Symmetry-distinct sites (fractional):
Sm 0.2402 0.2500 0.0599 (multiplicity 4)  9 Ni 2.76-3.08, 1 Cu 3.08
Cu 0.1435 0.7500 0.8554 (multiplicity 4)  8 Ni 2.52-2.65
Ni 0.0599 0.7500 0.0994 (multiplicity 4)  4 Ni 2.41-2.54, 1 Cu 2.52
Ni 0.0671 0.0044 0.3104 (multiplicity 8)  7 Ni 2.39-2.48, 2 Cu 2.61-2.62
Ni 0.1010 0.2500 0.5185 (multiplicity 4)  5 Ni 2.40-2.48, 1 Cu 2.58
Ni 0.1835 0.2500 0.7539 (multiplicity 4)  7 Ni 2.39-2.54, 2 Cu 2.65


(16)
Material: Sm6CuNi2
Method: DFT, GGA-PBE
State: optimized geometry

## Properties
The density of states at the Fermi level comes out at 1.031 states/eV per atom. The total magnetization is 0.0000 μB/atom. The value obtained for the formation energy is -0.19 eV/atom.

Cell lengths 9.4422, 9.7645, 10.0008 Å; angles 90.00, 90.00, 90.00 degrees
Last column: nearest neighbours and their distance in Å.
Space group Immm (No. 71)
Symmetry-distinct sites (fractional):
Sm 0.0000 0.1874 0.2380 (multiplicity 8)  1 Ni 2.83, 1 Cu 3.00
Sm 0.1906 0.5000 0.1732 (multiplicity 8)  3 Ni 2.74-2.92
Sm 0.2197 0.3230 0.5000 (multiplicity 8)  3 Ni 2.95-3.11, 1 Cu 3.16
Cu 0.0000 0.0000 0.0000 (multiplicity 2)  8 Sm 3.00-3.16
Cu 0.0000 0.0000 0.5000 (multiplicity 2)  8 Sm 3.20-3.40
Ni 0.0000 0.3450 0.0000 (multiplicity 4)  8 Sm 2.83-3.11, 1 Ni 3.03
Ni 0.0000 0.5000 0.3803 (multiplicity 4)  1 Ni 2.40


(17)
Material: Sm2CuNi
Method: DFT, GGA-PBE
State: optimized geometry

## Properties
The density of states at the Fermi level comes out at 0.819 states/eV per atom. The total magnetization is 0.0000 μB/atom. The value obtained for the formation energy is -0.23 eV/atom.

Cell lengths 3.4945, 3.4945, 7.0112 Å; angles 90.00, 90.00, 90.00 degrees
Last column: nearest neighbours and their distance in Å.
Space group P4/mmm (No. 123)
Symmetry-distinct sites (fractional):
Sm 0.0000 0.0000 0.2418 (multiplicity 2)  4 Ni 3.00, 4 Cu 3.06
Cu 0.5000 0.5000 0.5000 (multiplicity 1)  8 Sm 3.06
Ni 0.5000 0.5000 0.0000 (multiplicity 1)  8 Sm 3.00


(18)
Material: Sm3CuNi3
Method: DFT, GGA-PBE
State: optimized geometry

## Properties
The density of states at the Fermi level comes out at 0.662 states/eV per atom. The total magnetization is 0.0000 μB/atom. The value obtained for the formation energy is -0.34 eV/atom.

Cell lengths 4.1568, 9.9784, 13.1743 Å; angles 90.00, 90.00, 90.00 degrees
Last column: nearest neighbours and their distance in Å.
Space group Cmcm (No. 63)
Symmetry-distinct sites (fractional):
Sm 0.0000 0.0090 0.2500 (multiplicity 4)  7 Ni 2.92-3.05
Sm 0.0000 0.2914 0.1031 (multiplicity 8)  6 Ni 2.84-2.98
Cu 0.0000 0.0000 0.0000 (multiplicity 4)  4 Ni 2.51
Ni 0.0000 0.2852 0.7500 (multiplicity 4)  2 Ni 2.53
Ni 0.0000 0.4222 0.5887 (multiplicity 8)  2 Cu 2.51, 2 Ni 2.53-2.80


(19)
Material: Sm3CuNi8
Method: DFT, GGA-PBE
State: optimized geometry

## Properties
The density of states at the Fermi level comes out at 0.915 states/eV per atom. The total magnetization is 0.0000 μB/atom. The value obtained for the formation energy is -0.31 eV/atom.

Cell lengths 5.0146, 5.0146, 24.7178 Å; angles 90.00, 90.00, 120.00 degrees
Last column: nearest neighbours and their distance in Å.
Space group R3m (No. 160, hexagonal axes)
Symmetry-distinct sites (fractional):
Sm 0.0000 0.0000 0.0000 (multiplicity 3)  12 Ni 2.78-3.01, 3 Cu 2.97
Sm 0.0000 0.0000 0.1299 (multiplicity 3)  12 Ni 2.94-3.02, 4 Sm 3.20-3.21
Sm 0.0000 0.0000 0.5187 (multiplicity 3)  9 Ni 2.82-3.00, 1 Cu 2.98
Cu 0.0000 0.0000 0.6394 (multiplicity 3)  12 Ni 2.75-3.03, 4 Sm 2.97-2.98
Ni 0.0000 0.0000 0.3190 (multiplicity 3)  6 Ni 2.47-2.50
Ni 0.0000 0.0000 0.8197 (multiplicity 3)  6 Ni 2.55
Ni 0.1683 0.3366 0.9042 (multiplicity 9)  6 Ni 2.47-2.55
Ni 0.1686 0.3371 0.4010 (multiplicity 9)  6 Ni 2.48-2.55, 1 Cu 2.75